1.
This record from the Alexandria database describes an optimized crystal structure of Ca2AlSi2O7. The functional is GGA-PBE.

Cell lengths 7.7943, 7.7943, 5.0790 Å; angles 90.00, 90.00, 90.00 degrees
Last column: nearest neighbours and their distance in Å.
Atoms (fractional coordinates):
Ca  0.1641  0.6641  0.4889  6 O 2.50-2.57
O  0.0000  0.5000  0.8287  2 Si 1.70
O  0.1354  0.3646  0.2828  1 Si 1.62
O  0.0819  0.1771  0.8101  1 Si 1.68, 1 Al 1.80
O  0.8229  0.0819  0.1899  1 Si 1.68, 1 Al 1.80
Ca  0.6641  0.8359  0.5111  6 O 2.50-2.57
O  0.4181  0.6771  0.1899  1 Si 1.68, 1 Al 1.80
Ca  0.8359  0.3359  0.4889  6 O 2.50-2.57
Al  0.0000  0.0000  0.0000  4 O 1.80
O  0.6771  0.5819  0.8101  1 Si 1.68, 1 Al 1.80
Si  0.8588  0.6412  0.9639  4 O 1.62-1.70
O  0.3646  0.8646  0.7172  1 Si 1.62
O  0.5000  0.0000  0.1713  2 Si 1.70
Si  0.6412  0.1412  0.0361  4 O 1.62-1.70
O  0.8646  0.6354  0.2828  1 Si 1.62
O  0.5819  0.3229  0.1899  1 Si 1.68, 1 Al 1.80
O  0.3229  0.4181  0.8101  1 Si 1.68, 1 Al 1.80
Ca  0.3359  0.1641  0.5111  6 O 2.50-2.57
O  0.6354  0.1354  0.7172  1 Si 1.62
O  0.1771  0.9181  0.1899  1 Si 1.68, 1 Al 1.80
Si  0.1412  0.3588  0.9639  4 O 1.62-1.70
O  0.9181  0.8229  0.8101  1 Si 1.68, 1 Al 1.80
Si  0.3588  0.8588  0.0361  4 O 1.62-1.70
Al  0.5000  0.5000  0.0000  4 O 1.80

Computed properties:
E_form (uncorrected) = -33.7 eV per formula unit

=====

2.
This record from the Alexandria database describes an optimized crystal structure of TbSm2Co. The functional is GGA-PBE.

Cell lengths 3.4771, 3.4771, 8.9190 Å; angles 90.00, 90.00, 90.00 degrees
Last column: nearest neighbours and their distance in Å.
Atoms (fractional coordinates):
Sm  0.0000  0.0000  0.1861  4 Co 2.97, 1 Sm 3.32
Co  0.5000  0.5000  0.0000  8 Sm 2.97
Tb  0.5000  0.5000  0.5000  4 Tb 3.48, 8 Sm 3.73
Sm  0.0000  0.0000  0.8139  4 Co 2.97, 1 Sm 3.32

Computed properties:
E_form = 0.033 eV/atom
Relative energy among the computed polymorphs = 0.143 eV/atom

=====

3.
This record from the Alexandria database describes an optimized crystal structure of Tb3CeNd2P6. The functional is GGA-PBE.

Cell lengths 4.0865, 8.1689, 9.1186 Å; angles 102.85, 102.95, 90.00 degrees
Last column: nearest neighbours and their distance in Å.
Atoms (fractional coordinates):
P  0.3341  0.9230  0.6682  3 Tb 2.86-2.88, 1 Ce 2.87, 2 Nd 2.93
Ce  0.5000  0.0000  0.0000  6 P 2.87-2.89
Tb  0.8325  0.1671  0.6649  6 P 2.85-2.88
Tb  0.5000  0.5000  0.0000  6 P 2.85-2.89
P  0.0021  0.7514  0.0042  3 Tb 2.86-2.89, 2 Ce 2.89, 1 Nd 2.93
Nd  0.8329  0.6652  0.6659  6 P 2.91-2.93
P  0.6659  0.0770  0.3318  3 Tb 2.86-2.88, 1 Ce 2.87, 2 Nd 2.93
Nd  0.1671  0.3348  0.3341  6 P 2.91-2.93
P  0.6646  0.5884  0.3292  3 Tb 2.85, 3 Nd 2.91-2.92
P  0.9979  0.2486  0.9958  3 Tb 2.86-2.89, 2 Ce 2.89, 1 Nd 2.93
P  0.3354  0.4116  0.6708  3 Tb 2.85, 3 Nd 2.91-2.92
Tb  0.1675  0.8329  0.3351  6 P 2.85-2.88

Computed properties:
E_form = -1.572 eV/atom

=====

4.
This record from the Alexandria database describes an optimized crystal structure of K2NaFeH6. The functional is GGA-PBE.

Cell lengths 5.6107, 5.6107, 5.6107 Å; angles 60.00, 60.00, 60.00 degrees
Last column: nearest neighbours and their distance in Å.
Atoms (fractional coordinates):
H  0.2047  0.2047  0.7953  1 Fe 1.62
K  0.2500  0.2500  0.2500  12 H 2.83
K  0.7500  0.7500  0.7500  12 H 2.83
Fe  0.0000  0.0000  0.0000  6 H 1.62
H  0.2047  0.7953  0.2047  1 Fe 1.62
H  0.7953  0.2047  0.7953  1 Fe 1.62
H  0.7953  0.7953  0.2047  1 Fe 1.62
H  0.2047  0.7953  0.7953  1 Fe 1.62
Na  0.5000  0.5000  0.5000  6 H 2.34
H  0.7953  0.2047  0.2047  1 Fe 1.62

Computed properties:
Total DFT energy (no corrections) = -33.50 eV per cell

=====

5.
This record from the Alexandria database describes an optimized crystal structure of V12Ni3W5. The functional is GGA-PBE.

Cell lengths 12.2061, 12.2061, 12.2061 Å; angles 109.47, 109.47, 109.47 degrees
Last column: nearest neighbours and their distance in Å.
Atoms (fractional coordinates):
V  0.5740  0.9285  0.6631  2 W 2.41-2.45, 2 Ni 2.43-2.58, 1 V 2.43
V  0.5891  0.8545  0.4260  2 W 2.41-2.45, 2 Ni 2.43-2.58, 1 V 2.43
W  0.5000  0.0000  0.0000  6 V 2.45
V  0.6455  0.0715  0.2346  2 W 2.41-2.45, 2 Ni 2.43-2.58, 1 V 2.43
V  0.8545  0.2654  0.4285  2 W 2.41-2.45, 2 Ni 2.43-2.58, 1 V 2.43
V  0.6631  0.2346  0.5891  2 W 2.41-2.45, 2 Ni 2.43-2.58, 1 V 2.43
W  0.5000  0.5000  0.0000  6 V 2.45
W  0.2500  0.3750  0.6250  4 V 2.41
V  0.4260  0.0715  0.3369  2 W 2.41-2.45, 2 Ni 2.43-2.58, 1 V 2.43
V  0.6455  0.5740  0.9109  2 W 2.41-2.45, 2 Ni 2.43-2.58, 1 V 2.43
V  0.9285  0.5740  0.1631  2 W 2.41-2.45, 2 Ni 2.43-2.58, 1 V 2.43
V  0.7346  0.5891  0.1631  2 W 2.41-2.45, 2 Ni 2.43-2.58, 1 V 2.43
V  0.5715  0.3369  0.9260  2 W 2.41-2.45, 2 Ni 2.43-2.58, 1 V 2.43
V  0.9109  0.8369  0.7654  2 W 2.41-2.45, 2 Ni 2.43-2.58, 1 V 2.43
V  0.9109  0.0740  0.6455  2 W 2.41-2.45, 2 Ni 2.43-2.58, 1 V 2.43
V  0.5891  0.7346  0.6631  2 W 2.41-2.45, 2 Ni 2.43-2.58, 1 V 2.43
V  0.8369  0.9109  0.2654  2 W 2.41-2.45, 2 Ni 2.43-2.58, 1 V 2.43
V  0.5740  0.6455  0.4109  2 W 2.41-2.45, 2 Ni 2.43-2.58, 1 V 2.43
V  0.3369  0.5715  0.4260  2 W 2.41-2.45, 2 Ni 2.43-2.58, 1 V 2.43
W  0.7500  0.1250  0.8750  4 V 2.41
V  0.0891  0.1631  0.2346  2 W 2.41-2.45, 2 Ni 2.43-2.58, 1 V 2.43
W  0.1250  0.7500  0.3750  4 V 2.41
V  0.9285  0.3545  0.2654  2 W 2.41-2.45, 2 Ni 2.43-2.58, 1 V 2.43
W  0.0000  0.0000  0.0000  6 V 2.45
V  0.0740  0.1631  0.4285  2 W 2.41-2.45, 2 Ni 2.43-2.58, 1 V 2.43
V  0.8545  0.5891  0.9260  2 W 2.41-2.45, 2 Ni 2.43-2.58, 1 V 2.43
V  0.5715  0.2346  0.1455  2 W 2.41-2.45, 2 Ni 2.43-2.58, 1 V 2.43
V  0.1631  0.0740  0.9285  2 W 2.41-2.45, 2 Ni 2.43-2.58, 1 V 2.43
V  0.3369  0.7654  0.4109  2 W 2.41-2.45, 2 Ni 2.43-2.58, 1 V 2.43
V  0.2654  0.4109  0.8369  2 W 2.41-2.45, 2 Ni 2.43-2.58, 1 V 2.43
Ni  0.7500  0.3750  0.1250  8 V 2.43-2.58
V  0.9260  0.0891  0.8545  2 W 2.41-2.45, 2 Ni 2.43-2.58, 1 V 2.43
W  0.3750  0.1250  0.7500  4 V 2.41
V  0.7346  0.1455  0.0715  2 W 2.41-2.45, 2 Ni 2.43-2.58, 1 V 2.43
Ni  0.3750  0.7500  0.6250  8 V 2.43-2.58
V  0.0715  0.4260  0.8369  2 W 2.41-2.45, 2 Ni 2.43-2.58, 1 V 2.43
V  0.2346  0.6631  0.0891  2 W 2.41-2.45, 2 Ni 2.43-2.58, 1 V 2.43
W  0.7500  0.6250  0.3750  4 V 2.41
V  0.0740  0.9109  0.1455  2 W 2.41-2.45, 2 Ni 2.43-2.58, 1 V 2.43
W  0.8750  0.6250  0.7500  4 V 2.41
V  0.2654  0.8545  0.9285  2 W 2.41-2.45, 2 Ni 2.43-2.58, 1 V 2.43
V  0.7654  0.4285  0.3545  2 W 2.41-2.45, 2 Ni 2.43-2.58, 1 V 2.43
V  0.2346  0.5715  0.6455  2 W 2.41-2.45, 2 Ni 2.43-2.58, 1 V 2.43
Ni  0.2500  0.6250  0.8750  8 V 2.43-2.58
V  0.0715  0.6455  0.7346  2 W 2.41-2.45, 2 Ni 2.43-2.58, 1 V 2.43
V  0.3545  0.9285  0.7654  2 W 2.41-2.45, 2 Ni 2.43-2.58, 1 V 2.43
Ni  0.6250  0.2500  0.3750  8 V 2.43-2.58
Ni  0.8750  0.7500  0.1250  8 V 2.43-2.58
W  0.2500  0.8750  0.1250  4 V 2.41
W  0.0000  0.0000  0.5000  6 V 2.45
W  0.3750  0.2500  0.1250  4 V 2.41
W  0.0000  0.5000  0.0000  6 V 2.45
V  0.7654  0.3369  0.9109  2 W 2.41-2.45, 2 Ni 2.43-2.58, 1 V 2.43
V  0.1455  0.4109  0.0740  2 W 2.41-2.45, 2 Ni 2.43-2.58, 1 V 2.43
Ni  0.6250  0.3750  0.7500  8 V 2.43-2.58
V  0.4109  0.1455  0.5740  2 W 2.41-2.45, 2 Ni 2.43-2.58, 1 V 2.43
W  0.5000  0.5000  0.5000  6 V 2.45
W  0.0000  0.5000  0.5000  6 V 2.45
V  0.1455  0.7346  0.5715  2 W 2.41-2.45, 2 Ni 2.43-2.58, 1 V 2.43
Ni  0.8750  0.1250  0.2500  8 V 2.43-2.58
Ni  0.3750  0.6250  0.2500  8 V 2.43-2.58
W  0.6250  0.7500  0.8750  4 V 2.41
W  0.1250  0.3750  0.2500  4 V 2.41
Ni  0.7500  0.8750  0.6250  8 V 2.43-2.58
Ni  0.1250  0.2500  0.8750  8 V 2.43-2.58
V  0.4285  0.6631  0.0740  2 W 2.41-2.45, 2 Ni 2.43-2.58, 1 V 2.43
V  0.8369  0.9260  0.0715  2 W 2.41-2.45, 2 Ni 2.43-2.58, 1 V 2.43
Ni  0.1250  0.8750  0.7500  8 V 2.43-2.58
V  0.4260  0.3545  0.5891  2 W 2.41-2.45, 2 Ni 2.43-2.58, 1 V 2.43
V  0.3545  0.4260  0.0891  2 W 2.41-2.45, 2 Ni 2.43-2.58, 1 V 2.43
Ni  0.2500  0.1250  0.3750  8 V 2.43-2.58
V  0.9260  0.8369  0.5715  2 W 2.41-2.45, 2 Ni 2.43-2.58, 1 V 2.43
V  0.0891  0.9260  0.3545  2 W 2.41-2.45, 2 Ni 2.43-2.58, 1 V 2.43
W  0.8750  0.2500  0.6250  4 V 2.41
W  0.6250  0.8750  0.2500  4 V 2.41
V  0.4109  0.2654  0.3369  2 W 2.41-2.45, 2 Ni 2.43-2.58, 1 V 2.43
V  0.6631  0.4285  0.5740  2 W 2.41-2.45, 2 Ni 2.43-2.58, 1 V 2.43
W  0.5000  0.0000  0.5000  6 V 2.45
V  0.1631  0.0891  0.7346  2 W 2.41-2.45, 2 Ni 2.43-2.58, 1 V 2.43
V  0.4285  0.7654  0.8545  2 W 2.41-2.45, 2 Ni 2.43-2.58, 1 V 2.43

Computed properties:
E_form = 1.333 eV/atom

=====

6.
This record from the Alexandria database describes an optimized crystal structure of Pm4B3PdPt12. The functional is GGA-PBE.

Cell lengths 7.7949, 7.7949, 7.7949 Å; angles 109.47, 109.47, 109.47 degrees
Last column: nearest neighbours and their distance in Å.
Atoms (fractional coordinates):
Pt  0.0000  0.2814  0.2814  1 B 1.97
Pm  0.0000  0.0000  0.5000  12 Pt 3.18-3.19
B  0.0000  0.5000  0.5000  2 Pt 1.97
Pt  0.7500  0.5000  0.2500  2 B 2.25
Pt  0.0000  0.7186  0.7186  1 B 1.97
Pm  0.0000  0.5000  0.0000  12 Pt 3.18-3.19
Pd  0.0000  0.0000  0.0000  6 Pt 2.53
Pt  0.7500  0.2500  0.5000  2 B 2.25
Pt  0.5000  0.2500  0.7500  2 B 2.25
Pt  0.7186  0.7186  0.0000  1 B 1.97
Pt  0.2500  0.7500  0.5000  2 B 2.25
B  0.5000  0.0000  0.5000  2 Pt 1.97
Pt  0.7186  0.0000  0.7186  1 B 1.97
Pt  0.5000  0.7500  0.2500  2 B 2.25
Pm  0.5000  0.0000  0.0000  12 Pt 3.18-3.19
Pt  0.2814  0.0000  0.2814  1 B 1.97
Pt  0.2814  0.2814  0.0000  1 B 1.97
B  0.5000  0.5000  0.0000  2 Pt 1.97
Pm  0.5000  0.5000  0.5000  12 Pt 3.18-3.19
Pt  0.2500  0.5000  0.7500  2 B 2.25

Computed properties:
E_form = -0.612 eV/atom

=====

7.
This record from the Alexandria database describes an optimized crystal structure of TlFeAsBr2. The functional is GGA-PBE.

Cell lengths 5.6562, 5.6562, 5.4680 Å; angles 90.00, 90.00, 90.00 degrees
Last column: nearest neighbours and their distance in Å.
Atoms (fractional coordinates):
Tl  0.0000  0.0000  0.0000  2 As 2.73, 4 Br 2.83
As  0.0000  0.0000  0.5000  2 Tl 2.73
Br  0.0000  0.5000  0.0000  2 Tl 2.83
Br  0.5000  0.0000  0.0000  2 Tl 2.83
Fe  0.5000  0.5000  0.5000  8 Br 3.93, 4 As 4.00

Computed properties:
Relative energy among the computed polymorphs = 0.942 eV/atom
E_form (uncorrected) = 4.4 eV per formula unit

=====

8.
This record from the Alexandria database describes an optimized crystal structure of PmErGaSi. The functional is GGA-PBE.

Cell lengths 4.3446, 3.9843, 5.8475 Å; angles 90.00, 111.81, 90.00 degrees
Last column: nearest neighbours and their distance in Å.
Atoms (fractional coordinates):
Pm  0.1425  0.0000  0.2850  4 Ga 3.04, 3 Si 3.05-3.22
Si  0.4238  0.0000  0.8477  2 Ga 2.56
Ga  0.5723  0.5000  0.1446  2 Si 2.56
Er  0.8614  0.5000  0.7227  4 Si 3.02, 3 Ga 3.14-3.16

Computed properties:
Relative energy among the computed polymorphs = 0.000 eV/atom
E_form (uncorrected) = -2.9 eV per formula unit

=====

Listing DOS(E_F) for the structures above in their given order: 3.57; 5.18; 5.38; 10.87; 126.98; 13.67; 4.26; 3.17 states/eV/cell.